Ge4BiTe5: relaxed, PBE-GGA.

Structure (POSCAR):
```
Ge4BiTe5
1.0
-2.0869 3.0403 11.2343
2.0869 -3.0403 11.2343
2.0869 3.0403 -11.2343
Ge Bi Te
4 1 5
direct
0.1043 0.1043 0.0000
0.2970 0.2970 0.0000
0.7030 0.7030 0.0000
0.8957 0.8957 0.0000
0.5000 0.5000 0.0000
0.0000 0.5000 0.5000
0.1971 0.6971 0.5000
0.3891 0.8891 0.5000
0.6109 0.1109 0.5000
0.8029 0.3029 0.5000
```

Summary:
Volume, Å³/cell: 285
Space group: Immm
Raw total energy, eV per cell: -38.50